Density functional theory data (PBE-GGA) for Na3Bi4Pb after structural relaxation.

The space group is C2/m (No. 12) and the conventional cell measures 15.833, 5.846 and 5.864 Å, with angles of 90.00, 111.65 and 90.00 degrees. Symmetry generates all atoms from Na at (0.000, 0.000, 0.000), Na at (0.124, 0.000, 0.624), Bi at (0.145, 0.500, 0.145), Bi at (0.249, 0.000, 0.249) and Pb at (0.000, 0.500, 0.500).

The calculation puts the total magnetic moment at 0.0 μB per formula unit. The calculation puts the total energy at -3.016 eV/atom.